# Sc2AlRe PBE relaxed
# Calculated volume   18.4 Å³ per atom
# Crystal system   orthorhombic
# Energy of formation from the pure elements   -106 kJ/mol of formula units
data_Sc2AlRe
_cell_length_a 3.365
_cell_length_b 3.383
_cell_length_c 7.291
_cell_angle_alpha 62.40
_cell_angle_beta 90.00
_cell_angle_gamma 90.00
_space_group_name_H-M_alt 'P 1'
_space_group_IT_number 1
_space_group_name_Hall 'P 1'
loop_
_atom_site_label
_atom_site_type_symbol
_atom_site_fract_x
_atom_site_fract_y
_atom_site_fract_z
Sc1 Sc 0.000 0.020 0.980
Sc2 Sc 0.000 0.480 0.520
Re1 Re 0.500 0.750 0.750
Al1 Al 0.500 0.250 0.250